# 1
Computed, not measured: Pr3Nd2Er4 after structural relaxation at the PBE level of DFT.

Computed properties:
Calculated formation energy = 0.173 eV per formula unit
Total magnetization = 0.00 μB/f.u.
SG = No. 2

Lattice parameters (Å, degrees): 6.254 6.267 8.069 82.68 75.15 80.40
Positions (direct):
Pr (0.000, 0.000, 0.000)
Pr (0.442, 0.889, 0.223)
Pr (0.558, 0.111, 0.777)
Nd (0.332, 0.667, 0.667)
Nd (0.668, 0.333, 0.333)
Er (0.110, 0.227, 0.553)
Er (0.222, 0.447, 0.112)
Er (0.778, 0.553, 0.888)
Er (0.890, 0.773, 0.447)

# 2
Computed, not measured: AlSn3Au after structural relaxation at the PBE level of DFT.

Computed properties:
Calculated formation energy = 2.485 eV per formula unit
Total magnetization = 0.00 μB/f.u.
SG = No. 221

Lattice parameters (Å, degrees): 5.390 5.390 5.390 90.00 90.00 90.00
Positions (direct):
Al (0.000, 0.000, 0.000)
Sn (0.000, 0.500, 0.500)
Sn (0.500, 0.000, 0.500)
Sn (0.500, 0.500, 0.000)
Au (0.500, 0.500, 0.500)

# 3
Computed, not measured: Ho3GaPd12 after structural relaxation at the PBE level of DFT.

Computed properties:
Calculated formation energy = -12.491 eV per formula unit
Total magnetization = 0.00 μB/f.u.
SG = No. 123

Lattice parameters (Å, degrees): 4.094 4.094 16.046 90.00 90.00 90.00
Positions (direct):
Ho (0.000, 0.000, 0.000)
Ho (0.000, 0.000, 0.257)
Ho (0.000, 0.000, 0.743)
Ga (0.000, 0.000, 0.500)
Pd (0.000, 0.500, 0.129)
Pd (0.000, 0.500, 0.387)
Pd (0.000, 0.500, 0.613)
Pd (0.000, 0.500, 0.871)
Pd (0.500, 0.000, 0.129)
Pd (0.500, 0.000, 0.387)
Pd (0.500, 0.000, 0.613)
Pd (0.500, 0.000, 0.871)
Pd (0.500, 0.500, 0.000)
Pd (0.500, 0.500, 0.258)
Pd (0.500, 0.500, 0.500)
Pd (0.500, 0.500, 0.742)

# 4
Computed, not measured: Cd3GaP after structural relaxation at the PBE level of DFT.

Computed properties:
Calculated formation energy = 1.898 eV per formula unit
Total magnetization = 0.00 μB/f.u.
SG = No. 221

Lattice parameters (Å, degrees): 5.158 5.158 5.158 90.00 90.00 90.00
Positions (direct):
Cd (0.000, 0.000, 0.500)
Cd (0.000, 0.500, 0.000)
Cd (0.500, 0.000, 0.000)
Ga (0.500, 0.500, 0.500)
P (0.000, 0.000, 0.000)

# 5
Computed, not measured: ZrBIN2 after structural relaxation at the PBE level of DFT.

Computed properties:
Uncorrected formation energy = 1.46 eV/atom
Total magnetization = 0.00 μB/f.u.
SG = No. 123

Lattice parameters (Å, degrees): 3.915 3.915 4.435 90.00 90.00 90.00
Positions (direct):
Zr (0.000, 0.000, 0.000)
B (0.500, 0.500, 0.500)
I (0.500, 0.500, 0.000)
N (0.000, 0.500, 0.500)
N (0.500, 0.000, 0.500)

# 6
Computed, not measured: YCd2In after structural relaxation at the PBE level of DFT.

Computed properties:
Calculated formation energy = -0.259 eV per formula unit
Total magnetization = 0.00 μB/f.u.
SG = No. 166

Lattice parameters (Å, degrees): 10.756 10.756 10.756 18.07 18.07 18.07
Positions (direct):
Y (0.000, 0.000, 0.000)
Cd (0.249, 0.249, 0.249)
Cd (0.751, 0.751, 0.751)
In (0.500, 0.500, 0.500)

# 7
Computed, not measured: LiZrH2 after structural relaxation at the PBE level of DFT.

Computed properties:
Total magnetization = 0.00 μB/f.u.
SG = No. 15

Lattice parameters (Å, degrees): 6.143 6.143 5.787 117.20 117.20 29.50
Positions (direct):
Li (0.000, 0.000, 0.000)
Li (0.000, 0.000, 0.500)
Zr (0.000, 0.500, 0.000)
Zr (0.500, 0.000, 0.500)
H (0.084, 0.588, 0.408)
H (0.412, 0.916, 0.092)
H (0.588, 0.084, 0.908)
H (0.916, 0.412, 0.592)

# 8
Computed, not measured: MnPSe2 after structural relaxation at the PBE level of DFT.

Computed properties:
Uncorrected formation energy = 0.10 eV/atom
Total magnetization = 3.28 μB/f.u.
SG = No. 166

Lattice parameters (Å, degrees): 8.165 8.165 8.165 24.80 24.80 24.80
Positions (direct):
Mn (0.000, 0.000, 0.000)
P (0.500, 0.500, 0.500)
Se (0.395, 0.395, 0.395)
Se (0.605, 0.605, 0.605)

| no. | final energy (eV per atom) |
| --- | --- |
| 1 | -4.661 |
| 2 | -3.309 |
| 3 | -5.723 |
| 4 | -1.857 |
| 5 | -5.230 |
| 6 | -2.823 |
| 7 | -4.588 |
| 8 | -5.284 |